Entry 1:
## BaSn3Pt3 (PBE)

Data for a geometry-optimized BaSn3Pt3 structure.

```
14
Lattice="7.863 0.000 0.000 3.931 6.809 0.000 3.931 2.270 7.598" Properties=species:S:1:pos:R:3 pbc="T T T"
Ba 3.931 2.270 0.022
Ba 11.794 6.809 7.576
Sn 8.985 7.058 5.058
Sn 9.483 2.309 5.058
Sn 5.121 4.252 5.058
Sn 10.605 4.827 2.540
Sn 6.243 6.771 2.540
Sn 6.741 2.021 2.540
Pt 5.331 4.305 2.351
Pt 9.332 2.464 2.351
Pt 8.925 6.850 2.351
Pt 6.800 2.229 5.247
Pt 6.393 6.615 5.247
Pt 10.395 4.775 5.247
```

Output
Its space group is R-3.

---

Entry 2:
## Ba3SnPt8 (PBE)

Data for a geometry-optimized Ba3SnPt8 structure.

```
12
Lattice="-2.502 2.303 -4.556 0.316 -2.611 -5.041 -8.372 -4.673 -1.312" Properties=species:S:1:pos:R:3 pbc="T T T"
Ba -8.129 -4.194 -4.751
Ba -2.311 -0.382 -9.566
Ba -5.214 -2.451 -5.471
Sn -5.318 -2.180 -8.824
Pt -3.785 0.125 -6.715
Pt -6.475 -4.596 -7.645
Pt -2.542 -1.019 -4.451
Pt -7.720 -3.450 -9.911
Pt -4.009 -2.064 -2.389
Pt -9.317 -4.571 -7.837
Pt -2.385 -2.316 -6.956
Pt -7.877 -2.152 -7.404
```

Output
Its space group is R3m.

---

Entry 3:
## Ba2SnPt2 (PBE)

Data for a geometry-optimized Ba2SnPt2 structure.

```
5
Lattice="-4.629 -2.341 -3.625 4.315 -2.596 -3.833 -0.201 -5.783 -1.533" Properties=species:S:1:pos:R:3 pbc="T T T"
Ba -2.494 -5.297 -4.443
Ba 1.978 -5.424 -4.548
Pt -0.172 -3.566 -3.002
Pt -0.344 -7.154 -5.989
Sn 0.000 0.000 0.000
```

Output
Its space group is I4/mmm.

---

Entry 4:
## Ba2SnPt (PBE)

Data for a geometry-optimized Ba2SnPt structure.

```
4
Lattice="-2.311 3.699 0.434 -1.021 1.491 3.994 7.993 7.393 1.689" Properties=species:S:1:pos:R:3 pbc="T T T"
Ba 4.987 5.523 1.619
Ba -0.327 7.060 4.498
Pt 2.330 6.292 3.058
Sn 0.000 0.000 0.000
```

Output
Its space group is R-3m.

---

Entry 5:
## Ba2SrSn3Pt4 (PBE)

Data for a geometry-optimized Ba2SrSn3Pt4 structure.

```
10
Lattice="-1.551 4.577 -0.024 -4.242 -1.428 1.822 4.002 1.410 10.423" Properties=species:S:1:pos:R:3 pbc="T T T"
Ba 0.154 2.616 2.407
Ba 0.953 0.368 8.914
Sr -0.895 2.279 6.111
Sn 2.001 0.705 5.211
Sn 2.776 3.539 9.236
Sn -1.670 -0.555 2.086
Pt -2.896 1.574 0.899
Pt 0.000 0.000 0.000
Pt 1.818 3.202 6.741
Pt -0.712 -0.218 4.581
```

Output
Its space group is P-4m2.

---

Entry 6:
## Ba2TlSn4Pt3 (PBE)

Data for a geometry-optimized Ba2TlSn4Pt3 structure.

```
10
Lattice="4.864 0.000 0.000 0.000 4.864 0.000 0.000 0.000 11.102" Properties=species:S:1:pos:R:3 pbc="T T T"
Ba 2.432 0.000 2.782
Ba 0.000 2.432 8.320
Tl 2.432 2.432 5.551
Sn 2.432 2.432 0.000
Sn 0.000 0.000 0.000
Sn 2.432 0.000 7.146
Sn 0.000 2.432 3.956
Pt 0.000 0.000 5.551
Pt 2.432 0.000 9.833
Pt 0.000 2.432 1.269
```

Output
Its space group is P-4m2.

---

no.,ΔH_f (0 K) (eV per atom),DOS(E_F) (states/eV/cell)
1,-0.47,7.04
2,-0.62,6.22
3,-0.59,4.31
4,-0.25,2.62
5,-0.77,6.05
6,-0.65,5.53